VASP calculation (PBE-GGA) on a relaxed Pm2Sm2Y4Ho crystal.

## Properties
DFT total energy in Ry/atom: -0.403

Cell: 9.5918 9.5918 9.6522 Å, 115.24 115.24 21.79°
Last column: nearest neighbours and their distance in Å.
Fractional positions:
Pm (0.1654, 0.1654, 0.0000)  3 Y 3.56-3.58, 3 Sm 3.60, 2 Ho 3.61, 4 Pm 3.63-3.67
Pm (0.8346, 0.8346, 0.0000)  3 Y 3.56-3.58, 3 Sm 3.60, 2 Ho 3.61, 4 Pm 3.63-3.67
Sm (0.3520, 0.3520, 0.3350)  7 Y 3.55-3.64, 3 Pm 3.60, 2 Sm 3.63
Sm (0.6480, 0.6480, 0.6650)  7 Y 3.55-3.64, 3 Pm 3.60, 2 Sm 3.63
Y (0.0190, 0.0190, 0.3326)  1 Pm 3.56, 4 Sm 3.57-3.64, 2 Ho 3.57, 5 Y 3.60-3.63
Y (0.3152, 0.3152, 0.6658)  3 Sm 3.55-3.63, 6 Y 3.57-3.63, 1 Ho 3.57, 2 Pm 3.58
Y (0.6848, 0.6848, 0.3342)  3 Sm 3.55-3.63, 6 Y 3.57-3.63, 1 Ho 3.57, 2 Pm 3.58
Y (0.9810, 0.9810, 0.6674)  1 Pm 3.56, 4 Sm 3.57-3.64, 2 Ho 3.57, 5 Y 3.60-3.63
Ho (0.5000, 0.5000, 0.0000)  6 Y 3.57, 4 Pm 3.61, 2 Ho 3.63